No. 1
Material: Nb2TlPI
Method: DFT, PBE
State: relaxed

Its energy relative to the elements, uncorrected is 1.665 eV/atom. Its symmetry is No. 123. As for the total moment: 2.454 μB/cell.

abc: 5.1490 5.1490 5.1803
angles: 90.00 90.00 90.00
Positions (direct):
1 Nb 0.0000 0.5000 0.0000
2 Nb 0.5000 0.0000 0.0000
3 Tl 0.0000 0.0000 0.5000
4 P 0.5000 0.5000 0.5000
5 I 0.5000 0.5000 0.0000



No. 2
Material: NbV2PI
Method: DFT, PBE
State: relaxed

Its energy relative to the elements, uncorrected is 0.532 eV/atom. Its symmetry is No. 123. As for the total moment: 0.001 μB/cell.

abc: 4.4541 4.4541 4.7613
angles: 90.00 90.00 90.00
Positions (direct):
1 Nb 0.0000 0.0000 0.0000
2 V 0.0000 0.5000 0.5000
3 V 0.5000 0.0000 0.5000
4 P 0.0000 0.0000 0.5000
5 I 0.5000 0.5000 0.0000